Density functional theory data (GGA-PBE) for a geometry-optimized Ho7Er2Mg structure.

Cell: 5.342 9.185 9.185 Å, 123.87 90.00 90.00°
Element x y z (fractional)
Ho1 0.000 0.797 0.203
Ho2 0.000 0.203 0.797
Ho3 0.500 0.070 0.286
Ho4 0.500 0.930 0.714
Ho5 0.500 0.286 0.070
Ho6 0.500 0.714 0.930
Ho7 0.500 0.500 0.500
Er1 0.500 0.706 0.294
Er2 0.500 0.294 0.706
Mg1 0.000 0.000 0.000

Results
SG   Cmmm
Calculated formation energy   0.683 eV/atom
N(E_F)   11.88 states/eV per cell